1.
The following is a DFT calculation (PBE) of an optimized crystal structure of BeCdRu2.

Cell: 2.8125 2.8125 24.5745 Å, 90.00 90.00 120.00°
Space group R-3m (No. 166, hexagonal axes)
Symmetry-distinct sites (fractional):
Be 0.0000 0.0000 0.0000 [3 per cell]
Cd 0.0000 0.0000 0.5000 [3 per cell]
Ru 0.0000 0.0000 0.2642 [6 per cell]

Magnetization = 0.000 μB/f.u.
E_tot = -5.58 eV per atom
Formation energy from the elements = 215 meV/atom

2.
The following is a DFT calculation (PBE) of an optimized crystal structure of BeCd3Ru.

Cell: 5.155 5.155 5.155 Å, 90.00 90.00 90.00°
Space group Pm-3m (No. 221)
Symmetry-distinct sites (fractional):
Be 0.000 0.000 0.000 [1 per cell]
Cd 0.000 0.500 0.500 [3 per cell]
Ru 0.500 0.500 0.500 [1 per cell]

Magnetization = 0.000 μB/f.u.
E_tot = -2.02 eV per atom
Formation energy from the elements = 1127 meV/atom